Record 1
Entry from OQMD via LeMat-Bulk: a relaxed structure of Ho2TmWC3 (PBE-GGA).

Cell lengths 6.3608, 6.3608, 5.7844 Å; angles 111.95, 111.95, 31.97 degrees
Positions (direct):
C: 0.2564 0.2564 0.2367
C: 0.7143 0.7143 0.7632
C: 0.0031 0.0031 0.9554
Ho: 0.6240 0.6240 0.3035
Ho: 0.3806 0.3806 0.7006
Tm: 0.8712 0.8712 0.1782
W: 0.1504 0.1504 0.8624

Values from the calculation:
Magnetization ... 0.04 μB per formula unit
Uncorrected energy ... -8.016 eV/atom



Record 2
Entry from OQMD via LeMat-Bulk: a relaxed structure of HoTmW2C3 (PBE-GGA).

Cell lengths 6.0874, 6.0874, 5.6711 Å; angles 111.15, 111.15, 31.47 degrees
Positions (direct):
C: 0.7509 0.7509 0.2622
C: 0.2480 0.2480 0.7372
C: 0.0005 0.0005 0.9983
Ho: 0.3898 0.3898 0.1794
Tm: 0.6109 0.6109 0.8230
W: 0.1549 0.1549 0.3268
W: 0.8450 0.8450 0.6730

Values from the calculation:
Magnetization ... 0.01 μB per formula unit
Uncorrected energy ... -9.319 eV/atom



Record 3
Entry from OQMD via LeMat-Bulk: a relaxed structure of YHoW2C3 (PBE-GGA).

Cell lengths 6.1351, 6.1351, 5.7106 Å; angles 111.63, 111.63, 31.39 degrees
Positions (direct):
C: 0.7503 0.7503 0.2646
C: 0.2487 0.2487 0.7347
C: 0.0004 0.0004 0.9989
Ho: 0.6105 0.6105 0.8213
W: 0.1555 0.1555 0.3261
W: 0.8444 0.8444 0.6739
Y: 0.3902 0.3902 0.1806

Values from the calculation:
Magnetization ... 0.01 μB per formula unit
Uncorrected energy ... -9.581 eV/atom



Record 4
Entry from OQMD via LeMat-Bulk: a relaxed structure of YHo3C (PBE-GGA).

Cell lengths 5.0274, 5.0274, 5.0274 Å; angles 90.00, 90.00, 90.00 degrees
Last column: magnetic moment on the atom in μB.
Positions (direct):
C: 0.0000 0.0000 0.0000  0.02
Ho: 0.5000 0.0000 0.0000  0.06
Ho: 0.0000 0.5000 0.0000  0.06
Ho: 0.0000 0.0000 0.5000  0.07
Y: 0.5000 0.5000 0.5000  0.08

Values from the calculation:
Magnetization ... 0.44 μB per formula unit
Uncorrected energy ... -5.907 eV/atom



Record 5
Entry from OQMD via LeMat-Bulk: a relaxed structure of YHoC2 (PBE-GGA).

Cell lengths 3.8831, 4.3708, 4.3708 Å; angles 79.82, 90.00, 90.00 degrees
Positions (direct):
C: 0.0000 0.8517 0.6035
C: 0.0000 0.6035 0.8517
Ho: 0.0000 0.3789 0.3789
Y: 0.5000 0.9429 0.9429

Values from the calculation:
Magnetization ... 0.00 μB per formula unit
Uncorrected energy ... -7.382 eV/atom



Record 6
Entry from OQMD via LeMat-Bulk: a relaxed structure of YHoC3 (PBE-GGA).

Cell lengths 3.6040, 3.6040, 5.9385 Å; angles 107.11, 107.11, 89.99 degrees
Positions (direct):
C: 0.1305 0.1305 0.2553
C: 0.8687 0.8687 0.7428
C: 0.9992 0.9992 0.9989
Ho: 0.6571 0.6571 0.3079
Y: 0.3445 0.3445 0.6951

Values from the calculation:
Magnetization ... 0.00 μB per formula unit
Uncorrected energy ... -7.968 eV/atom



Record 7
Entry from OQMD via LeMat-Bulk: a relaxed structure of YHoC (PBE-GGA).

Cell lengths 4.4386, 4.4386, 6.9796 Å; angles 90.00, 90.00, 90.00 degrees
Positions (direct):
C: 0.0000 0.5000 0.0000
C: 0.5000 0.0000 0.5000
Ho: 0.5000 0.5000 0.0000
Ho: 0.5000 0.5000 0.5000
Y: 0.0000 0.0000 0.2500
Y: 0.0000 0.0000 0.7500

Values from the calculation:
Magnetization ... 0.07 μB per formula unit
Excess energy over the best structure of this formula in the dataset ... 554 meV/atom
Uncorrected energy ... -6.500 eV/atom



Record 8
Entry from OQMD via LeMat-Bulk: a relaxed structure of YHoC (PBE-GGA).

Cell lengths 6.4505, 6.4505, 6.4505 Å; angles 32.29, 32.29, 32.29 degrees
Last column: magnetic moment on the atom in μB.
Positions (direct):
C: 0.9990 0.9990 0.9990  -0.01
Ho: 0.2605 0.2605 0.2605  0.11
Y: 0.7405 0.7405 0.7405  0.08

Values from the calculation:
Magnetization ... 0.37 μB per formula unit
Excess energy over the best structure of this formula in the dataset ... 0 meV/atom
Uncorrected energy ... -7.055 eV/atom



Record 9
Entry from OQMD via LeMat-Bulk: a relaxed structure of YHoC (PBE-GGA).

Cell lengths 6.4540, 6.4540, 6.2179 Å; angles 99.30, 99.30, 32.32 degrees
Last column: magnetic moment on the atom in μB.
Positions (direct):
C: 0.5000 0.5000 0.0000  -0.01
C: 0.0000 0.0000 0.5000  -0.01
Ho: 0.8914 0.8914 0.1304  0.11
Ho: 0.1086 0.1086 0.8696  0.11
Y: 0.6108 0.6108 0.3709  0.07
Y: 0.3892 0.3892 0.6291  0.07

Values from the calculation:
Magnetization ... 0.37 μB per formula unit
Excess energy over the best structure of this formula in the dataset ... 1 meV/atom
Uncorrected energy ... -7.054 eV/atom



Record 10
Entry from OQMD via LeMat-Bulk: a relaxed structure of Y2Ho2C (PBE-GGA).

Cell lengths 3.5574, 3.5574, 12.1070 Å; angles 90.00, 90.00, 120.00 degrees
Positions (direct):
C: 0.0000 0.0000 0.5000
Ho: 0.6667 0.3333 0.1128
Ho: 0.3333 0.6667 0.8872
Y: 0.3333 0.6667 0.3871
Y: 0.6667 0.3333 0.6129

Values from the calculation:
Magnetization ... 0.04 μB per formula unit
Uncorrected energy ... -6.397 eV/atom



Record 11
Entry from OQMD via LeMat-Bulk: a relaxed structure of K2PtC4I2N4 (PBE-GGA).

Cell lengths 7.2594, 9.1226, 8.8983 Å; angles 90.00, 107.50, 90.00 degrees
Positions (direct):
C: 0.7970 0.0382 0.1073
C: 0.1998 0.9575 0.2067
C: 0.8002 0.4575 0.2933
C: 0.2030 0.5382 0.3927
C: 0.7970 0.4618 0.6073
C: 0.1998 0.5425 0.7067
C: 0.8002 0.0425 0.7933
C: 0.2030 0.9618 0.8927
I: 0.1031 0.2873 0.0310
I: 0.8969 0.7873 0.4690
I: 0.1031 0.2127 0.5310
I: 0.8969 0.7127 0.9690
K: 0.4743 0.7137 0.1176
K: 0.5257 0.2137 0.3824
K: 0.4743 0.7863 0.6176
K: 0.5257 0.2863 0.8824
N: 0.6741 0.0639 0.1638
N: 0.6774 0.4317 0.1765
N: 0.3226 0.9317 0.3235
N: 0.3259 0.5639 0.3362
N: 0.6741 0.4361 0.6638
N: 0.6774 0.0683 0.6765
N: 0.3226 0.5683 0.8235
N: 0.3259 0.9361 0.8362
Pt: 0.0000 0.0000 0.0000
Pt: 0.0000 0.5000 0.5000

Values from the calculation:
Magnetization ... 0.00 μB per formula unit
Uncorrected energy ... -6.419 eV/atom



Record 12
Entry from OQMD via LeMat-Bulk: a relaxed structure of LaNd3C2I2 (PBE-GGA).

Cell lengths 3.9011, 3.9011, 15.6631 Å; angles 90.00, 90.00, 120.00 degrees
Positions (direct):
C: 0.6667 0.3333 0.5011
C: 0.6667 0.3333 0.9960
I: 0.3333 0.6667 0.2550
I: 0.0000 0.0000 0.7485
La: 0.0000 0.0000 0.0869
Nd: 0.0000 0.0000 0.4147
Nd: 0.3333 0.6667 0.5875
Nd: 0.3333 0.6667 0.9102

Values from the calculation:
Magnetization ... 0.01 μB per formula unit
Uncorrected energy ... -5.803 eV/atom